CsLuNb | OQMD | PBE | relaxed; calculated total energy = -3.46 eV/atom
1.0
0.0000 3.8268 3.8268
3.8268 0.0000 3.8268
3.8268 3.8268 0.0000
Cs Lu Nb
1 1 1
Direct
0.0000 0.0000 0.0000 Cs
0.5000 0.5000 0.5000 Lu
0.7500 0.7500 0.7500 Nb

=====

TbHo2Cd3Ir2Pt | OQMD | PBE | relaxed; E_form = -668 meV/atom; calculated total energy = -5.14 eV/atom
1.0
3.9373 0.0000 0.0000
0.0000 6.4891 3.7441
0.0000 -6.4891 3.7441
Tb Ho Cd Ir Pt
1 2 3 2 1
Direct
0.0000 0.0000 0.0000 Tb
0.0000 0.4079 0.8152 Ho
0.0000 0.8152 0.4079 Ho
0.5000 0.1488 0.4079 Cd
0.5000 0.4079 0.1488 Cd
0.5000 0.6674 0.6674 Cd
0.5000 0.0750 0.7398 Ir
0.5000 0.7398 0.0750 Ir
0.0000 0.4092 0.4092 Pt

=====

NaGaOsW | OQMD | PBE | relaxed; calculated total energy = -6.65 eV/atom
1.0
0.0000 3.1455 3.1455
3.1455 0.0000 3.1455
3.1455 3.1455 0.0000
Na Ga Os W
1 1 1 1
Direct
0.0000 0.0000 0.0000 Na
0.2500 0.2500 0.2500 Ga
0.7500 0.7500 0.7500 Os
0.5000 0.5000 0.5000 W

=====

NaNiHgAs | OQMD | PBE | relaxed; calculated total energy = -2.87 eV/atom
1.0
0.0000 3.2727 3.2727
3.2727 0.0000 3.2727
3.2727 3.2727 0.0000
Na Ni Hg As
1 1 1 1
Direct
0.0000 0.0000 0.0000 Na
0.5000 0.5000 0.5000 Ni
0.7500 0.7500 0.7500 Hg
0.2500 0.2500 0.2500 As

=====

Ag3Te2Au | OQMD | PBE | relaxed; calculated total energy = -3.08 eV/atom
1.0
-5.2241 5.2241 5.2241
5.2241 -5.2241 5.2241
5.2241 5.2241 -5.2241
Ag Te Au
12 8 4
Direct
0.1396 0.7500 0.8896 Ag
0.1396 0.8896 0.2500 Ag
0.2500 0.1396 0.8896 Ag
0.2500 0.6104 0.3604 Ag
0.3604 0.2500 0.6104 Ag
0.3604 0.6104 0.7500 Ag
0.6104 0.3604 0.2500 Ag
0.6104 0.7500 0.3604 Ag
0.7500 0.3604 0.6104 Ag
0.7500 0.8896 0.1396 Ag
0.8896 0.1396 0.7500 Ag
0.8896 0.2500 0.1396 Ag
0.0000 0.5443 0.5000 Te
0.0000 0.9557 0.5000 Te
0.5000 0.0000 0.5443 Te
0.5000 0.0000 0.9557 Te
0.5443 0.5000 0.0000 Te
0.5443 0.5443 0.5443 Te
0.9557 0.5000 0.0000 Te
0.9557 0.9557 0.9557 Te
0.0000 0.2500 0.5000 Au
0.2500 0.2500 0.2500 Au
0.2500 0.5000 0.0000 Au
0.5000 0.0000 0.2500 Au

=====

SrSmPb2 | OQMD | PBE | relaxed; calculated total energy = -3.93 eV/atom
1.0
4.5024 0.0000 0.0000
0.0000 2.4362 6.0546
0.0000 -2.4362 6.0546
Sr Sm Pb
1 1 2
Direct
0.0000 0.0000 0.0000 Sr
0.5000 0.2668 0.2668 Sm
0.0000 0.7295 0.7295 Pb
0.5000 0.5464 0.5464 Pb